(1)
Computed, not measured: crystalline KInSi at its relaxed geometry at the PBE level of DFT.

Computed properties:
Formation energy from raw total energies, eV per atom: 0.6208
Raw total energy, eV per cell: -14.79
Total moment, μB per cell: 0.00

Cell: 6.2074 6.2074 9.7670 Å, 90.00 90.00 120.00°
Space group P6_3/mmc (No. 194)
Unique sites:
K 0.3333 0.6667 0.2500 x2
In 0.0000 0.0000 0.2500 x2
Si 0.0000 0.0000 0.0000 x2

***

(2)
Computed, not measured: crystalline KInSi at its relaxed geometry at the PBE level of DFT.

Computed properties:
Formation energy from raw total energies, eV per atom: 0.1383
Raw total energy, eV per cell: -35.38
Total moment, μB per cell: 0.00

Cell: 5.851 15.741 3.707 Å, 90.00 90.00 90.00°
Space group Cmcm (No. 63)
Unique sites:
K 0.000 0.097 0.250 x4
In 0.000 0.293 0.750 x4
Si 0.000 0.454 0.250 x4

***

(3)
Computed, not measured: crystalline KIn4Si at its relaxed geometry at the PBE level of DFT.

Computed properties:
Formation energy from raw total energies, eV per atom: 0.2652
Raw total energy, eV per cell: -63.53
Total moment, μB per cell: 0.00

Cell: 8.816 8.816 8.816 Å, 90.00 90.00 90.00°
Space group F-43m (No. 216)
Unique sites:
K 0.000 0.000 0.000 x4
In 0.124 0.124 0.376 x16
Si 0.250 0.250 0.750 x4

***

(4)
Computed, not measured: crystalline KInSi at its relaxed geometry at the PBE level of DFT.

Computed properties:
Formation energy from raw total energies, eV per atom: 0.0545
Raw total energy, eV per cell: -36.38
Total moment, μB per cell: 0.00

Cell: 11.477 3.765 9.459 Å, 90.00 90.00 90.00°
Space group Pnma (No. 62)
Unique sites:
K 0.203 0.250 0.075 x4
In 0.037 0.250 0.745 x4
Si 0.064 0.250 0.462 x4

***

(5)
Computed, not measured: crystalline K2InSi at its relaxed geometry at the PBE level of DFT.

Computed properties:
Formation energy from raw total energies, eV per atom: 0.4982
Raw total energy, eV per cell: -33.45
Total moment, μB per cell: 0.00

Cell: 4.640 4.640 24.045 Å, 90.00 90.00 90.00°
Space group I-42d (No. 122)
Unique sites:
K 0.239 0.250 0.125 x8
In 0.000 0.000 0.500 x4
Si 0.000 0.000 0.000 x4

***

(6)
Computed, not measured: crystalline KInSi at its relaxed geometry at the PBE level of DFT.

Computed properties:
Formation energy from raw total energies, eV per atom: 0.1913
Raw total energy, eV per cell: -34.74
Total moment, μB per cell: 0.00

Cell: 7.416 11.912 4.504 Å, 90.00 90.00 90.00°
Space group Cmme (No. 67)
Unique sites:
K 0.250 0.000 0.000 x4
In 0.250 0.250 0.500 x4
Si 0.000 0.250 0.097 x4

***

(7)
Computed, not measured: crystalline KInSi3 at its relaxed geometry at the PBE level of DFT.

Computed properties:
Formation energy from raw total energies, eV per atom: 1.8559
Raw total energy, eV per cell: -10.83
Total moment, μB per cell: 0.00

Cell: 5.496 5.496 5.496 Å, 90.00 90.00 90.00°
Space group Pm-3m (No. 221)
Unique sites:
K 0.000 0.000 0.000 x1
In 0.500 0.500 0.500 x1
Si 0.000 0.000 0.500 x3

***

(8)
Computed, not measured: crystalline KInSi at its relaxed geometry at the PBE level of DFT.

Computed properties:
Formation energy from raw total energies, eV per atom: 0.0160
Raw total energy, eV per cell: -18.42
Total moment, μB per cell: 0.00

Cell: 4.482 6.359 7.161 Å, 106.01 106.13 100.64°
Space group P-1 (No. 2)
Unique sites:
K 0.224 0.218 0.395 x2
In 0.497 0.779 0.043 x2
Si 0.007 0.614 0.176 x2